1.
# Sr3VFe

A geometry-optimized Sr3VFe structure (PBE, the Alexandria database).

The structure belongs to space group Pm-3m (No. 221); the cell edges are 5.7406, 5.7406 and 5.7406 Å and the angles 90.00°, 90.00° and 90.00°. Symmetry generates all atoms from Sr at (0.0000, 0.0000, 0.5000), V at (0.5000, 0.5000, 0.5000) and Fe at (0.0000, 0.0000, 0.0000).

The formation energy comes out at 4.63 eV per formula unit.

---

2.
# SiOsPb2

A geometry-optimized SiOsPb2 structure (PBE, the Alexandria database).

The structure belongs to space group Pmmm (No. 47); the cell edges are 3.5305, 4.5872 and 5.2758 Å and the angles 90.00°, 90.00° and 90.00°. Symmetry generates all atoms from Si at (0.0000, 0.0000, 0.0000), Os at (0.5000, 0.0000, 0.5000), Pb at (0.0000, 0.5000, 0.5000) and Pb at (0.5000, 0.5000, 0.0000).

The formation energy from raw total energies is 1.051 eV/atom.

---

3.
# CdGe

A geometry-optimized CdGe structure (PBE, the Alexandria database).

The structure belongs to space group P-1 (No. 2); the cell edges are 3.1770, 5.3933 and 5.3941 Å and the angles 106.19°, 98.15° and 98.26°. Symmetry generates all atoms from Cd at (0.0026, 0.1966, 0.3054) and Ge at (0.3410, 0.6852, 0.1838).

The formation energy comes out at 0.37 eV per formula unit.

---

4.
# Y2Re2Se

A geometry-optimized Y2Re2Se structure (PBE, the Alexandria database).

The structure belongs to space group P4/mbm (No. 127); the cell edges are 6.8269, 6.8269 and 4.6711 Å and the angles 90.00°, 90.00° and 90.00°. Symmetry generates all atoms from Y at (0.1728, 0.3272, 0.0000), Re at (0.1191, 0.6191, 0.5000) and Se at (0.0000, 0.0000, 0.5000).

For the energy above the most stable polymorph in this dataset, the calculation gives 0.000 eV/atom. The formation energy from raw total energies is 0.057 eV/atom.

---

N(E_F) (computed, states/eV per atom): 1.4364 0.6336 0.2694 0.7816